Below is crystalline SrReIr at its relaxed geometry, with properties calculated at the PBE level.

Computed properties:
distance to the lowest polymorph of the same formula	355	meV/atom
total DFT energy (no corrections)	-7.2686	eV per atom
ρ	12.5	g/cm³
volume	20.60	A^3/atom

abc: 3.0815 3.0815 13.0135
angles: 90.00 90.00 90.00
With the nearest neighbours (Å) after each atom.
Space group I4mm (No. 107)
Inequivalent atoms, fractional coordinates:
Sr  0.0000  0.0000  0.0000 (multiplicity 2)  4 Sr 3.08, 4 Ir 3.35, 4 Re 3.39
Re  0.0000  0.0000  0.3002 (multiplicity 2)  4 Ir 2.57
Ir  0.0000  0.0000  0.6960 (multiplicity 2)  4 Re 2.57